Computed, not measured: an optimized crystal structure of HgPd3I at the GGA-PBE level of DFT.

For the calculated total energy, the calculation gives -3.458 eV per atom. The formation energy without anion corrections comes out at 0.029 eV per atom. The density of states at the Fermi level comes out at 0.592 states/eV per atom. The calculation puts the magnetic moment at 0.0 μB per cell.

The structure belongs to space group Cmcm (No. 63); the cell edges are 10.9960, 8.8947 and 8.3195 Å and the angles 90.00°, 90.00° and 90.00°. The distinct sites, in fractional coordinates, are Hg at (0.0000, 0.0194, 0.2500), Hg at (0.0000, 0.3452, 0.7500), Pd at (0.1281, 0.1588, 0.5182), Pd at (0.1330, 0.5000, 0.0000) and I at (0.1929, 0.3300, 0.2500).

Computed, not measured: an optimized crystal structure of HfReNi2Ru at the GGA-PBE level of DFT.

For the calculated total energy, the calculation gives -7.240 eV per atom. The density of states at the Fermi level comes out at 1.395 states/eV per atom. The calculation puts the magnetic moment at 1.5 μB per cell. As for the calculated formation energy: 1.408 eV per atom.

The structure belongs to space group P4/mmm (No. 123); the cell edges are 4.4184, 4.4184 and 4.9586 Å and the angles 90.00°, 90.00° and 90.00°. The distinct sites, in fractional coordinates, are Hf at (0.0000, 0.0000, 0.0000), Re at (0.0000, 0.0000, 0.5000), Ni at (0.0000, 0.5000, 0.5000) and Ru at (0.5000, 0.5000, 0.0000).

Computed, not measured: an optimized crystal structure of NaMgP2O at the GGA-PBE level of DFT.

For the calculated total energy, the calculation gives -3.643 eV per atom. The formation energy without anion corrections comes out at 0.096 eV per atom. The density of states at the Fermi level comes out at 0.652 states/eV per atom. The calculation puts the magnetic moment at 0.7 μB per cell.

The structure belongs to space group P4/mmm (No. 123); the cell edges are 5.1541, 5.1541 and 3.7189 Å and the angles 90.00°, 90.00° and 90.00°. The distinct sites, in fractional coordinates, are Na at (0.0000, 0.0000, 0.0000), Mg at (0.5000, 0.5000, 0.5000), P at (0.0000, 0.5000, 0.5000) and O at (0.5000, 0.5000, 0.0000).

Computed, not measured: an optimized crystal structure of Th2NbAl2Ru5 at the GGA-PBE level of DFT.

For the calculated total energy, the calculation gives -8.333 eV per atom. The density of states at the Fermi level comes out at 0.444 states/eV per atom. The calculation puts the magnetic moment at 0.0 μB per cell. As for the calculated formation energy: -0.455 eV per atom.

The structure belongs to space group P4/mbm (No. 127); the cell edges are 10.3005, 10.3005 and 3.3481 Å and the angles 90.00°, 90.00° and 90.00°. The distinct sites, in fractional coordinates, are Th at (0.1740, 0.3260, 0.0000), Nb at (0.0000, 0.0000, 0.0000), Al at (0.1240, 0.6240, 0.0000), Ru at (0.0000, 0.5000, 0.5000) and Ru at (0.0669, 0.7965, 0.5000).

Computed, not measured: an optimized crystal structure of BaMnSCl2 at the GGA-PBE level of DFT.

For the calculated total energy, the calculation gives -5.278 eV per atom. The formation energy without anion corrections comes out at -1.495 eV per atom. The density of states at the Fermi level comes out at 0.081 states/eV per atom. The calculation puts the magnetic moment at 4.9 μB per cell.

The structure belongs to space group P4/mmm (No. 123); the cell edges are 5.0189, 5.0189 and 4.9798 Å and the angles 90.00°, 90.00° and 90.00°. The distinct sites, in fractional coordinates, are Ba at (0.0000, 0.0000, 0.0000), Mn at (0.5000, 0.5000, 0.5000), S at (0.5000, 0.5000, 0.0000) and Cl at (0.0000, 0.5000, 0.5000).

Computed, not measured: an optimized crystal structure of RbTaRe3 at the GGA-PBE level of DFT.

For the calculated total energy, the calculation gives -7.684 eV per atom. The density of states at the Fermi level comes out at 1.185 states/eV per atom. The calculation puts the magnetic moment at 4.0 μB per cell. As for the calculated formation energy: 2.348 eV per atom.

The structure belongs to space group Pm-3m (No. 221); the cell edges are 4.9646, 4.9646 and 4.9646 Å and the angles 90.00°, 90.00° and 90.00°. The distinct sites, in fractional coordinates, are Rb at (0.0000, 0.0000, 0.0000), Ta at (0.5000, 0.5000, 0.5000) and Re at (0.0000, 0.5000, 0.5000).

Computed, not measured: an optimized crystal structure of P2SICl at the GGA-PBE level of DFT.

For the calculated total energy, the calculation gives -2.300 eV per atom. The formation energy without anion corrections comes out at 1.369 eV per atom. The density of states at the Fermi level comes out at 1.084 states/eV per atom. The calculation puts the magnetic moment at 0.0 μB per cell.

The structure belongs to space group P4/mmm (No. 123); the cell edges are 4.7674, 4.7674 and 4.9648 Å and the angles 90.00°, 90.00° and 90.00°. The distinct sites, in fractional coordinates, are P at (0.0000, 0.5000, 0.0000), S at (0.0000, 0.0000, 0.5000), I at (0.5000, 0.5000, 0.5000) and Cl at (0.0000, 0.0000, 0.0000).

Computed, not measured: an optimized crystal structure of VP2Ru2 at the GGA-PBE level of DFT.

For the calculated total energy, the calculation gives -8.001 eV per atom. The density of states at the Fermi level comes out at 1.049 states/eV per atom. The calculation puts the magnetic moment at 0.0 μB per cell. As for the calculated formation energy: -0.303 eV per atom.

The structure belongs to space group P4/mbm (No. 127); the cell edges are 6.8492, 6.8492 and 2.7929 Å and the angles 90.00°, 90.00° and 90.00°. The distinct sites, in fractional coordinates, are V at (0.0000, 0.0000, 0.0000), P at (0.1566, 0.3434, 0.0000) and Ru at (0.1473, 0.6473, 0.5000).

Computed, not measured: an optimized crystal structure of RbPuTe at the GGA-PBE level of DFT.

For the calculated total energy, the calculation gives -6.450 eV per atom. The formation energy without anion corrections comes out at -0.303 eV per atom. The density of states at the Fermi level comes out at 5.829 states/eV per atom. The calculation puts the magnetic moment at 6.8 μB per cell.

The structure belongs to space group P3m1 (No. 156); the cell edges are 5.3767, 5.3767 and 5.3830 Å and the angles 90.00°, 90.00° and 120.00°. The distinct sites, in fractional coordinates, are Rb at (0.0000, 0.0000, 0.0000), Pu at (0.6667, 0.3333, 0.4999) and Te at (0.3333, 0.6667, 0.5015).

Computed, not measured: an optimized crystal structure of LiAgPd2Cl at the GGA-PBE level of DFT.

For the calculated total energy, the calculation gives -2.914 eV per atom. The formation energy without anion corrections comes out at 0.485 eV per atom. The density of states at the Fermi level comes out at 0.599 states/eV per atom. The calculation puts the magnetic moment at 0.0 μB per cell.

The structure belongs to space group P4/mmm (No. 123); the cell edges are 5.1102, 5.1102 and 4.8677 Å and the angles 90.00°, 90.00° and 90.00°. The distinct sites, in fractional coordinates, are Li at (0.0000, 0.0000, 0.0000), Ag at (0.5000, 0.5000, 0.5000), Pd at (0.0000, 0.5000, 0.5000) and Cl at (0.5000, 0.5000, 0.0000).

Computed, not measured: an optimized crystal structure of Pr8Ir3NCl3 at the GGA-PBE level of DFT.

For the calculated total energy, the calculation gives -6.265 eV per atom. The formation energy without anion corrections comes out at -1.019 eV per atom. The density of states at the Fermi level comes out at 0.705 states/eV per atom. The calculation puts the magnetic moment at 0.0 μB per cell.

The structure belongs to space group C2/m (No. 12); the cell edges are 14.2232, 8.1975 and 8.7849 Å and the angles 90.00°, 122.59° and 90.00°. The distinct sites, in fractional coordinates, are Pr at (0.0127, 0.2349, 0.3032), Pr at (0.2232, 0.0000, 0.6976), Pr at (0.2366, 0.5000, 0.7103), Ir at (0.0000, 0.5000, 0.5000), Ir at (0.2500, 0.2500, 0.5000), N at (0.0000, 0.0000, 0.5000), Cl at (0.0000, 0.0000, 0.0000) and Cl at (0.2500, 0.2500, 0.0000).

Computed, not measured: an optimized crystal structure of KCaMn2 at the GGA-PBE level of DFT.

For the calculated total energy, the calculation gives -4.404 eV per atom. The density of states at the Fermi level comes out at 1.145 states/eV per atom. The calculation puts the magnetic moment at 32.3 μB per cell. As for the calculated formation energy: 0.955 eV per atom.

The structure belongs to space group Fm-3m (No. 225); the cell edges are 7.7591, 7.7591 and 7.7591 Å and the angles 90.00°, 90.00° and 90.00°. The distinct sites, in fractional coordinates, are K at (0.0000, 0.0000, 0.0000), Ca at (0.0000, 0.0000, 0.5000) and Mn at (0.2500, 0.2500, 0.2500).

Computed, not measured: an optimized crystal structure of PrPRu2C at the GGA-PBE level of DFT.

For the calculated total energy, the calculation gives -8.214 eV per atom. The density of states at the Fermi level comes out at 0.476 states/eV per atom. The calculation puts the magnetic moment at 0.0 μB per cell. As for the calculated formation energy: -0.621 eV per atom.

The structure belongs to space group Cmcm (No. 63); the cell edges are 3.9358, 11.0150 and 7.1856 Å and the angles 90.00°, 90.00° and 90.00°. The distinct sites, in fractional coordinates, are Pr at (0.0000, 0.0472, 0.2500), P at (0.0000, 0.2290, 0.7500), Ru at (0.0000, 0.3330, 0.0545) and C at (0.0000, 0.5000, 0.0000).